Tm8Te4PAu3: optimized geometry, PBE-GGA.

Properties
- Raw total energy: -5.074 eV/atom
- M_tot: 0.0 Bohr magnetons per cell

Lattice parameters (Å, degrees): 8.3069 8.3069 21.3405 90.00 90.00 120.00
Last column: nearest neighbours and their distance in Å.
Space group R-3m (No. 166, hexagonal axes)
Inequivalent atoms, fractional coordinates:
Tm1 0.0000 0.0000 0.2405 x6  3 Au 2.87, 3 Te 3.11
Tm2 0.0065 0.5033 0.2401 x18  1 P 2.83, 2 Au 2.88, 3 Te 3.10-3.15
Te1 0.0000 0.0000 0.0000 x3  6 Tm 3.15
Te2 0.0000 0.5000 0.0000 x9  6 Tm 3.10-3.11
P1 0.0000 0.0000 0.5000 x3  6 Tm 2.83
Au1 0.0000 0.5000 0.5000 x9  6 Tm 2.87-2.88